Entry 1:
VASP calculation (GGA-PBE) on Ca4Ho3TmTe8 after structural relaxation.

Computed properties:
formation energy from raw total energies	-1430	meV per atom
uncorrected energy	-4.639	eV/atom
magnetization	0.000	Bohr magnetons per cell

Cell: 8.7573 8.7573 21.8835 Å, 90.00 90.00 120.00°
Space group R-3m (No. 166, hexagonal axes)
One atom of each set of equivalent atoms:
Ca1 0.0000 0.0000 0.0000 [3 per cell]
Ca2 0.0000 0.5000 0.0000 [9 per cell]
Ho1 0.0000 0.5000 0.5000 [9 per cell]
Tm1 0.0000 0.0000 0.5000 [3 per cell]
Te1 0.0000 0.0000 0.2479 [6 per cell]
Te2 0.0017 0.5008 0.2475 [18 per cell]


Entry 2:
VASP calculation (GGA-PBE) on Pr5Cd4Ru after structural relaxation.

Computed properties:
uncorrected energy	-3.948	eV/atom
energy of formation	-0.2645	eV/atom
magnetization	0.504	Bohr magnetons per cell

Cell: 3.732 3.732 19.988 Å, 90.00 90.00 90.00°
Space group P4/mmm (No. 123)
One atom of each set of equivalent atoms:
Pr1 0.000 0.000 0.000 [1 per cell]
Pr2 0.000 0.000 0.206 [2 per cell]
Pr3 0.000 0.000 0.417 [2 per cell]
Cd1 0.500 0.500 0.103 [2 per cell]
Cd2 0.500 0.500 0.307 [2 per cell]
Ru1 0.500 0.500 0.500 [1 per cell]


Entry 3:
VASP calculation (GGA-PBE) on BaCu3As after structural relaxation.

Computed properties:
uncorrected energy	-2.173	eV/atom
polymorph energy (0 for the lowest one)	7.660	eV/f.u.
energy of formation	1.5987	eV/atom
magnetization	0.000	Bohr magnetons per cell

Cell: 5.329 5.329 5.329 Å, 90.00 90.00 90.00°
Space group Pm-3m (No. 221)
One atom of each set of equivalent atoms:
Ba1 0.000 0.000 0.000 [1 per cell]
Cu1 0.000 0.000 0.500 [3 per cell]
As1 0.500 0.500 0.500 [1 per cell]


Question: Which formula does entry 3 have?
Answer: BaCu3As


Question: Among the records above, which one has the highest uncorrected energy?
Answer: BaCu3As


Question: Among the records above, which one has the highest uncorrected energy?
Answer: BaCu3As